{"formula": "Tb2Er4Th5", "functional": "GGA-PBE", "state": "relaxed", "lattice": [[-0.459, 0.118, -3.434], [8.475, -1.897, -1.197], [-1.653, -11.490, -0.173]], "species": ["Er", "Th", "Er", "Th", "Er", "Th", "Er", "Tb", "Th", "Tb", "Th"], "fractional_positions": [[0.500, 0.296, 0.554], [0.000, 0.426, 0.290], [0.500, 0.704, 0.446], [0.000, 0.799, 0.173], [0.500, 0.160, 0.099], [0.000, 0.500, 0.000], [0.500, 0.840, 0.901], [0.000, 0.056, 0.364], [0.000, 0.201, 0.827], [0.000, 0.944, 0.636], [0.000, 0.574, 0.710]], "m_tot_mub_per_cell": 0.00, "final_energy_ev_per_atom": -5.749}

---

{"formula": "AsSe2Cl", "functional": "GGA-PBE", "state": "relaxed", "lattice": [[-5.134, -1.577, 0.212], [0.226, 0.240, 7.255], [-3.770, 12.853, 4.333]], "species": ["As", "Se", "Se", "Se", "Se", "As", "Se", "Se", "Se", "Se", "As", "Cl", "Cl", "Cl", "As", "Cl"], "fractional_positions": [[0.687, 0.323, 0.881], [0.154, 0.007, 0.059], [0.218, 0.553, 0.981], [0.654, 0.493, 0.441], [0.846, 0.993, 0.941], [0.187, 0.177, 0.619], [0.346, 0.507, 0.559], [0.282, 0.053, 0.481], [0.782, 0.447, 0.019], [0.718, 0.947, 0.519], [0.313, 0.677, 0.119], [0.515, 0.980, 0.270], [0.015, 0.520, 0.230], [0.985, 0.480, 0.770], [0.813, 0.823, 0.381], [0.485, 0.020, 0.730]], "m_tot_mub_per_cell": 0.00, "relative_energy_mev_per_atom": 0}

---

{"formula": "Li3GaPd3O8", "functional": "GGA-PBE", "state": "relaxed", "lattice": [[-2.576, -3.978, 3.540], [0.427, -1.362, -6.162], [4.877, -0.356, 3.149]], "species": ["Li", "Li", "O", "Pd", "O", "O", "O", "O", "Pd", "Ga", "O", "Pd", "O", "Li", "O"], "fractional_positions": [[0.000, 0.000, 0.000], [0.500, 0.500, 0.000], [0.789, 0.578, 0.776], [0.000, 0.500, 0.500], [0.280, 0.065, 0.307], [0.777, 0.553, 0.280], [0.223, 0.447, 0.720], [0.785, 0.065, 0.307], [0.500, 0.500, 0.500], [0.000, 0.000, 0.500], [0.211, 0.422, 0.224], [0.500, 0.000, 0.500], [0.215, 0.935, 0.693], [0.000, 0.500, 0.000], [0.720, 0.935, 0.693]], "m_tot_mub_per_cell": 0.00, "final_energy_ev_per_atom": -5.340}